Entry from Alexandria: a relaxed ZrBi2I crystal (PBE).

Summary:
Space-group type = No. 225
Crystal system = cubic
V = 29.5 Å³/atom
Energy relative to the lowest polymorph listed for this composition = 186 meV/atom

a = 5.5028 Å, b = 5.5028 Å, c = 5.5028 Å
α = 60.00°, β = 60.00°, γ = 60.00°
Last column: nearest neighbours and their distance in Å.
Fractional positions:
1 Zr 0.0000 0.0000 0.0000  8 Bi 3.37
2 Bi 0.2500 0.2500 0.2500  4 Zr 3.37, 4 I 3.37
3 Bi 0.7500 0.7500 0.7500  4 Zr 3.37, 4 I 3.37
4 I 0.5000 0.5000 0.5000  8 Bi 3.37